(1)
Compound: PRuAu2
Source: the Alexandria database
Functional: GGA-PBEsol
Structure: relaxed

abc: 2.893 3.682 6.400
angles: 106.72 103.06 90.00
Fractional positions:
Au  0.816  0.816  0.631
Au  0.184  0.184  0.369
P  0.500  0.000  0.000
Ru  0.000  0.500  0.000

Calculated volume   63.45 Å³ per cell
Formation enthalpy at 0 K   0.100 eV/atom
E   -5.8531 eV/atom
Space group   Immm



(2)
Compound: PRu4Au
Source: the Alexandria database
Functional: GGA-PBEsol
Structure: relaxed

abc: 5.039 5.039 5.039
angles: 60.00 60.00 60.00
Fractional positions:
Au  0.750  0.750  0.750
P  0.000  0.000  0.000
Ru  0.375  0.375  0.375
Ru  0.375  0.375  0.876
Ru  0.876  0.375  0.375
Ru  0.375  0.876  0.375

Calculated volume   90.49 Å³ per cell
Formation enthalpy at 0 K   0.864 eV/atom
E   -7.5368 eV/atom
Space group   F-43m